Record 1
# K2SrPIr (PBE-GGA, relaxed)
data_K2SrPIr
_chemical_formula_sum 'K2 Sr1 P1 Ir1'
_cell_length_a 7.1270
_cell_length_b 7.1270
_cell_length_c 5.2634
_cell_angle_alpha 90.00
_cell_angle_beta 90.00
_cell_angle_gamma 90.00
_space_group_name_H-M_alt 'P 4/m m m'
_space_group_IT_number 123
_space_group_name_Hall '-P 4 2'
loop_
_atom_site_label
_atom_site_type_symbol
_atom_site_fract_x
_atom_site_fract_y
_atom_site_fract_z
K1 K 0.0000 0.5000 0.0000
Sr1 Sr 0.0000 0.0000 0.0000
P1 P 0.0000 0.0000 0.5000
Ir1 Ir 0.5000 0.5000 0.5000
# Formation enthalpy at 0 K: 1.2520 eV per atom
# M_tot: 0.39 μB/atom
# Crystal system: tetragonal
# Raw total energy: -2.38 eV/atom

Record 2
# KTcP2Ir (PBE-GGA, relaxed)
data_KTcP2Ir
_chemical_formula_sum 'K2 Tc2 P4 Ir2'
_cell_length_a 4.0582
_cell_length_b 4.0582
_cell_length_c 12.7736
_cell_angle_alpha 90.00
_cell_angle_beta 90.00
_cell_angle_gamma 90.00
_space_group_name_H-M_alt 'I -4 m 2'
_space_group_IT_number 119
_space_group_name_Hall 'I -4 -2'
loop_
_atom_site_label
_atom_site_type_symbol
_atom_site_fract_x
_atom_site_fract_y
_atom_site_fract_z
K1 K 0.0000 0.0000 0.0000
Tc1 Tc 0.0000 0.5000 0.2500
P1 P 0.0000 0.0000 0.3423
Ir1 Ir 0.0000 0.5000 0.7500
# Formation enthalpy at 0 K: -0.5947 eV per atom
# M_tot: 0.00 μB/atom
# Crystal system: tetragonal
# Raw total energy: -6.82 eV/atom

Record 3
# K2TlPIr (PBE-GGA, relaxed)
data_K2TlPIr
_chemical_formula_sum 'K2 Tl1 P1 Ir1'
_cell_length_a 6.2851
_cell_length_b 6.2851
_cell_length_c 5.0877
_cell_angle_alpha 90.00
_cell_angle_beta 90.00
_cell_angle_gamma 90.00
_space_group_name_H-M_alt 'P 4/m m m'
_space_group_IT_number 123
_space_group_name_Hall '-P 4 2'
loop_
_atom_site_label
_atom_site_type_symbol
_atom_site_fract_x
_atom_site_fract_y
_atom_site_fract_z
K1 K 0.0000 0.5000 0.0000
Tl1 Tl 0.0000 0.0000 0.5000
P1 P 0.0000 0.0000 0.0000
Ir1 Ir 0.5000 0.5000 0.5000
# Formation enthalpy at 0 K: 0.8506 eV per atom
# M_tot: 0.39 μB/atom
# Crystal system: tetragonal
# Raw total energy: -2.92 eV/atom

Record 4
# KTlPIr (PBE-GGA, relaxed)
data_KTlPIr
_chemical_formula_sum 'K2 Tl2 P2 Ir2'
_cell_length_a 4.0957
_cell_length_b 4.0957
_cell_length_c 12.7635
_cell_angle_alpha 90.00
_cell_angle_beta 90.00
_cell_angle_gamma 90.00
_space_group_name_H-M_alt 'P 4/n m m'
_space_group_IT_number 129
loop_
_space_group_symop_operation_xyz
'x,y,z'
'-x,-y,-z'
'-y+1/2,x,z'
'y+1/2,-x,-z'
'-x+1/2,-y+1/2,z'
'x+1/2,y+1/2,-z'
'y,-x+1/2,z'
'-y,x+1/2,-z'
'x+1/2,-y,-z'
'-x+1/2,y,z'
'-y,-x,-z'
'y,x,z'
'-x,y+1/2,-z'
'x,-y+1/2,z'
'y+1/2,x+1/2,-z'
'-y+1/2,-x+1/2,z'
loop_
_atom_site_label
_atom_site_type_symbol
_atom_site_fract_x
_atom_site_fract_y
_atom_site_fract_z
K1 K 0.2500 0.2500 0.2388
Tl1 Tl 0.2500 0.7500 0.5000
P1 P 0.2500 0.2500 0.9027
Ir1 Ir 0.2500 0.7500 0.0000
# Formation enthalpy at 0 K: -0.3355 eV per atom
# M_tot: 0.00 μB/atom
# Crystal system: tetragonal
# Raw total energy: -4.77 eV/atom

Record 5
# K2IrPb (PBE-GGA, relaxed)
data_K2IrPb
_chemical_formula_sum 'K4 Ir2 Pb2'
_cell_length_a 4.3471
_cell_length_b 4.3471
_cell_length_c 11.1500
_cell_angle_alpha 90.00
_cell_angle_beta 90.00
_cell_angle_gamma 90.00
_space_group_name_H-M_alt 'I 4/m m m'
_space_group_IT_number 139
_space_group_name_Hall '-I 4 2'
loop_
_atom_site_label
_atom_site_type_symbol
_atom_site_fract_x
_atom_site_fract_y
_atom_site_fract_z
K1 K 0.0000 0.5000 0.2500
Ir1 Ir 0.0000 0.0000 0.0000
Pb1 Pb 0.0000 0.0000 0.5000
# Formation enthalpy at 0 K: 0.5351 eV per atom
# M_tot: 0.00 μB/atom
# Crystal system: tetragonal
# Raw total energy: -3.16 eV/atom

Record 6
# K2IrPb (PBE-GGA, relaxed)
data_K2IrPb
_chemical_formula_sum 'K4 Ir2 Pb2'
_cell_length_a 8.1178
_cell_length_b 4.6143
_cell_length_c 9.1579
_cell_angle_alpha 90.00
_cell_angle_beta 107.08
_cell_angle_gamma 90.00
_space_group_name_H-M_alt 'C 1 m 1'
_space_group_IT_number 8
_space_group_name_Hall 'C -2y'
loop_
_atom_site_label
_atom_site_type_symbol
_atom_site_fract_x
_atom_site_fract_y
_atom_site_fract_z
K1 K 0.0000 0.0000 0.0000
K2 K 0.1768 0.0000 0.5372
Ir1 Ir 0.4252 0.0000 0.2685
Pb1 Pb 0.2564 0.5000 0.2686
# Formation enthalpy at 0 K: 0.2004 eV per atom
# M_tot: 0.00 μB/atom
# Crystal system: monoclinic
# Raw total energy: -3.49 eV/atom